# LaPa2Pd9

A geometry-optimized LaPa2Pd9 structure (PBE-GGA, Alexandria).

Properties
Fermi-level density of states = 9.95 states/eV per cell
E_tot = -0.2442 hartree per atom
ΔH_f (0 K) = -0.76 eV/atom

Cell lengths 4.184, 4.184, 12.563 Å; angles 90.00, 90.00, 90.00 degrees
Site moments in Bohr magnetons follow the coordinates.
Fractional positions:
Pd: 0.500 0.500 0.663  -0.01
Pd: 0.000 0.500 0.500  0.00
Pd: 0.500 0.500 0.000  0.00
Pd: 0.500 0.000 0.825  0.00
Pd: 0.000 0.500 0.175  0.00
Pd: 0.000 0.500 0.825  0.00
Pd: 0.500 0.000 0.500  0.00
Pd: 0.500 0.500 0.337  -0.01
Pd: 0.500 0.000 0.175  0.00
Pa: 0.000 0.000 0.334  0.61
Pa: 0.000 0.000 0.666  0.61
La: 0.000 0.000 0.000  0.00